Entry from Alexandria: crystalline Y2AgC at its relaxed geometry (GGA-PBE).

Unit cell a=6.2408 b=6.2408 c=6.2408 alpha=111.90 beta=111.90 gamma=104.71
Last column: nearest neighbours and their distance in Å.
Sites, in units of the cell vectors:
Y: 0.0476 0.1250 0.4226  2 C 2.33
Y: 0.3750 0.9524 0.0774  2 C 2.33
Y: 0.7024 0.6250 0.5774  2 C 2.33
Y: 0.8750 0.2976 0.9226  2 C 2.33
Ag: 0.2500 0.7500 0.5000  4 Y 3.03
Ag: 0.5000 0.5000 0.0000  4 Y 3.03
C: 0.0000 0.0000 0.0000  4 Y 2.33
C: 0.7500 0.2500 0.5000  4 Y 2.33

**E_form**: -0.13 eV/f.u.
**Total magnetic moment**: 0.00 μB/f.u.
**DOS(E_F)**: 0.520 states/eV per atom


Entry from Alexandria: crystalline Y3AgC at its relaxed geometry (GGA-PBE).

Unit cell a=4.9097 b=4.9097 c=4.9097 alpha=90.00 beta=90.00 gamma=90.00
Last column: nearest neighbours and their distance in Å.
Sites, in units of the cell vectors:
Y: 0.0000 0.0000 0.5000  2 C 2.45
Y: 0.0000 0.5000 0.0000  2 C 2.45
Y: 0.5000 0.0000 0.0000  2 C 2.45
Ag: 0.5000 0.5000 0.5000  12 Y 3.47
C: 0.0000 0.0000 0.0000  6 Y 2.45

**Distance to the lowest polymorph of the same formula**: 0.278 eV per formula unit
**E_form**: -1.13 eV/f.u.
**Total magnetic moment**: 0.61 μB/f.u.
**DOS(E_F)**: 1.899 states/eV per atom


Entry from Alexandria: crystalline Y2ZrAgC at its relaxed geometry (GGA-PBE).

Unit cell a=4.9539 b=4.9539 c=4.4821 alpha=90.00 beta=90.00 gamma=90.00
Last column: nearest neighbours and their distance in Å.
Sites, in units of the cell vectors:
Y: 0.0000 0.5000 0.0000  2 C 2.48
Y: 0.5000 0.0000 0.0000  2 C 2.48
Zr: 0.0000 0.0000 0.5000  2 C 2.24
Ag: 0.5000 0.5000 0.5000  8 Y 3.34, 4 Zr 3.50
C: 0.0000 0.0000 0.0000  2 Zr 2.24, 4 Y 2.48

**E_form**: -1.17 eV/f.u.
**Total magnetic moment**: 0.00 μB/f.u.
**DOS(E_F)**: 0.860 states/eV per atom


Entry from Alexandria: crystalline ZnAgC3 at its relaxed geometry (GGA-PBE).

Unit cell a=3.9987 b=3.9987 c=3.9987 alpha=90.00 beta=90.00 gamma=90.00
Last column: nearest neighbours and their distance in Å.
Sites, in units of the cell vectors:
Zn: 0.0000 0.0000 0.0000  6 C 2.00
Ag: 0.5000 0.5000 0.5000  12 C 2.83
C: 0.0000 0.0000 0.5000  2 Zn 2.00
C: 0.0000 0.5000 0.0000  2 Zn 2.00
C: 0.5000 0.0000 0.0000  2 Zn 2.00

**Distance to the lowest polymorph of the same formula**: 0.000 eV per formula unit
**E_form**: 14.37 eV/f.u.
**Total magnetic moment**: 0.00 μB/f.u.
**DOS(E_F)**: 0.541 states/eV per atom